(1)
First-principles (PBE) data for crystalline Cr2PSe at its relaxed geometry, as listed in Alexandria.

Crystal system: tetragonal
E_tot: -7.09 eV per atom
Offset from the most stable computed form: 0.189 eV per atom
Density of states at the Fermi level: 1.90 states/eV/f.u.

Unit cell a=5.555 b=5.555 c=11.395 alpha=90.00 beta=90.00 gamma=90.00
Space group I-42d (No. 122)
Asymmetric unit:
Cr  0.225  0.250  0.125 (multiplicity 8)
P  0.000  0.000  0.000 (multiplicity 4)
Se  0.000  0.000  0.500 (multiplicity 4)


(2)
First-principles (PBE) data for crystalline Ba2Li4In3 at its relaxed geometry, as listed in Alexandria.

Crystal system: orthorhombic
E_tot: -2.42 eV per atom
Energy relative to the elements: -228 meV/atom
Density of states at the Fermi level: 6.80 states/eV/f.u.

Unit cell a=6.145 b=11.116 c=15.509 alpha=90.00 beta=90.00 gamma=90.00
Space group Fmmm (No. 69)
Asymmetric unit:
Ba  0.000  0.000  0.133 (multiplicity 8)
Li  0.000  0.181  0.341 (multiplicity 16)
In  0.000  0.000  0.500 (multiplicity 4)
In  0.250  0.250  0.000 (multiplicity 8)


(3)
First-principles (PBE) data for crystalline CeErZnPb at its relaxed geometry, as listed in Alexandria.

Crystal system: cubic
E_tot: -4.17 eV per atom
Energy relative to the elements: -302 meV/atom
Density of states at the Fermi level: 8.32 states/eV/f.u.

Unit cell a=7.484 b=7.484 c=7.484 alpha=90.00 beta=90.00 gamma=90.00
Space group F-43m (No. 216)
Asymmetric unit:
Ce  0.000  0.000  0.000 (multiplicity 4)
Er  0.000  0.000  0.500 (multiplicity 4)
Zn  0.250  0.250  0.750 (multiplicity 4)
Pb  0.250  0.250  0.250 (multiplicity 4)


(4)
First-principles (PBE) data for crystalline YCoAu2 at its relaxed geometry, as listed in Alexandria.

Crystal system: orthorhombic
E_tot: -5.25 eV per atom
Energy relative to the elements: -223 meV/atom
Density of states at the Fermi level: 4.29 states/eV/f.u.

Unit cell a=3.507 b=4.478 c=5.277 alpha=90.00 beta=90.00 gamma=90.00
Space group Pmm2 (No. 25)
Asymmetric unit:
Y  0.000  0.000  0.000 (multiplicity 1)
Co  0.500  0.500  0.249 (multiplicity 1)
Au  0.500  0.000  0.467 (multiplicity 1)
Au  0.500  0.500  0.766 (multiplicity 1)


(5)
First-principles (PBE) data for crystalline YHg2Cl at its relaxed geometry, as listed in Alexandria.

Crystal system: monoclinic
E_tot: -2.82 eV per atom
Offset from the most stable computed form: 0.118 eV per atom
Density of states at the Fermi level: 2.11 states/eV/f.u.

Unit cell a=3.831 b=5.610 c=5.351 alpha=90.00 beta=98.16 gamma=90.00
Space group P2/m (No. 10)
Asymmetric unit:
Y  0.000  0.000  0.000 (multiplicity 1)
Hg  0.356  0.500  0.234 (multiplicity 2)
Cl  0.000  0.000  0.500 (multiplicity 1)


(6)
First-principles (PBE) data for crystalline Ba2SiHPt6 at its relaxed geometry, as listed in Alexandria.

Crystal system: triclinic
E_tot: -5.46 eV per atom
Density of states at the Fermi level: 4.85 states/eV/f.u.

Unit cell a=5.710 b=6.299 c=6.556 alpha=69.36 beta=64.27 gamma=89.66
Space group P-1 (No. 2)
Asymmetric unit:
Ba  0.184  0.303  0.132 (multiplicity 2)
Si  0.500  0.000  0.500 (multiplicity 1)
H  0.000  0.500  0.500 (multiplicity 1)
Pt  0.192  0.268  0.627 (multiplicity 2)
Pt  0.277  0.888  0.947 (multiplicity 2)
Pt  0.324  0.733  0.374 (multiplicity 2)


(7)
First-principles (PBE) data for crystalline CaInIr2 at its relaxed geometry, as listed in Alexandria.

Crystal system: monoclinic
E_tot: -5.76 eV per atom
Energy relative to the elements: -144 meV/atom
Density of states at the Fermi level: 2.64 states/eV/f.u.

Unit cell a=10.801 b=2.970 c=4.964 alpha=90.00 beta=110.19 gamma=90.00
Space group Cm (No. 8)
Asymmetric unit:
Ca  0.000  0.000  0.000 (multiplicity 2)
In  0.208  0.000  0.629 (multiplicity 2)
Ir  0.265  0.500  0.156 (multiplicity 2)
Ir  0.465  0.000  0.485 (multiplicity 2)


(8)
First-principles (PBE) data for crystalline Tb6YEr3 at its relaxed geometry, as listed in Alexandria.

Crystal system: orthorhombic
E_tot: -4.64 eV per atom
Offset from the most stable computed form: 0.029 eV per atom
Energy relative to the elements: 154 meV/atom
Density of states at the Fermi level: 14.59 states/eV/f.u.

Unit cell a=10.951 b=18.975 c=6.193 alpha=90.00 beta=90.00 gamma=90.00
Space group Cmc2_1 (No. 36)
Asymmetric unit:
Tb  0.000  0.043  0.000 (multiplicity 4)
Tb  0.000  0.279  0.265 (multiplicity 4)
Tb  0.166  0.454  0.371 (multiplicity 8)
Tb  0.239  0.289  0.554 (multiplicity 8)
Y  0.000  0.201  0.779 (multiplicity 4)
Er  0.000  0.389  0.838 (multiplicity 4)
Er  0.169  0.110  0.445 (multiplicity 8)


(9)
First-principles (PBE) data for crystalline NdSm4Rh at its relaxed geometry, as listed in Alexandria.

Crystal system: orthorhombic
E_tot: -5.38 eV per atom
Energy relative to the elements: -211 meV/atom
Density of states at the Fermi level: 7.26 states/eV/f.u.

Unit cell a=6.017 b=7.605 c=16.341 alpha=90.00 beta=90.00 gamma=90.00
Space group Immm (No. 71)
Asymmetric unit:
Nd  0.000  0.000  0.199 (multiplicity 4)
Sm  0.000  0.206  0.000 (multiplicity 4)
Sm  0.000  0.252  0.384 (multiplicity 8)
Sm  0.000  0.500  0.171 (multiplicity 4)
Rh  0.232  0.000  0.500 (multiplicity 4)


(10)
First-principles (PBE) data for crystalline LaBeW3 at its relaxed geometry, as listed in Alexandria.

Crystal system: cubic
E_tot: -8.43 eV per atom
Offset from the most stable computed form: 0.000 eV per atom
Energy relative to the elements: 1075 meV/atom
Density of states at the Fermi level: 6.72 states/eV/f.u.

Unit cell a=4.507 b=4.507 c=4.507 alpha=90.00 beta=90.00 gamma=90.00
Space group Pm-3m (No. 221)
Asymmetric unit:
La  0.000  0.000  0.000 (multiplicity 1)
Be  0.500  0.500  0.500 (multiplicity 1)
W  0.000  0.500  0.500 (multiplicity 3)


(11)
First-principles (PBE) data for crystalline La2Th3 at its relaxed geometry, as listed in Alexandria.

Crystal system: trigonal
E_tot: -6.41 eV per atom
Offset from the most stable computed form: 0.000 eV per atom
Energy relative to the elements: 15 meV/atom
Density of states at the Fermi level: 7.82 states/eV/f.u.

Unit cell a=3.6036 b=3.6036 c=44.8688 alpha=90.00 beta=90.00 gamma=120.00
Space group R-3m (No. 166, hexagonal axes)
Asymmetric unit:
La  0.0000  0.0000  0.2039 (multiplicity 6)
Th  0.0000  0.0000  0.0000 (multiplicity 3)
Th  0.0000  0.0000  0.3974 (multiplicity 6)


(12)
First-principles (PBE) data for crystalline TbCeTlGa at its relaxed geometry, as listed in Alexandria.

Crystal system: tetragonal
E_tot: -4.40 eV per atom
Offset from the most stable computed form: 0.000 eV per atom
Energy relative to the elements: -412 meV/atom
Density of states at the Fermi level: 6.56 states/eV/f.u.

Unit cell a=3.488 b=3.488 c=8.442 alpha=90.00 beta=90.00 gamma=90.00
Space group P4mm (No. 99)
Asymmetric unit:
Tb  0.000  0.000  0.000 (multiplicity 1)
Ce  0.000  0.000  0.459 (multiplicity 1)
Tl  0.500  0.500  0.735 (multiplicity 1)
Ga  0.500  0.500  0.224 (multiplicity 1)


Q: What is the density of states at the Fermi level in the eighth record?
A: 14.59 states/eV/f.u.


Please write out number 1 again, unchanged.
First-principles (PBE) data for crystalline Cr2PSe at its relaxed geometry, as listed in Alexandria.

Crystal system: tetragonal
E_tot: -7.09 eV per atom
Offset from the most stable computed form: 0.189 eV per atom
Density of states at the Fermi level: 1.90 states/eV/f.u.

Unit cell a=5.555 b=5.555 c=11.395 alpha=90.00 beta=90.00 gamma=90.00
Space group I-42d (No. 122)
Asymmetric unit:
Cr  0.225  0.250  0.125 (multiplicity 8)
P  0.000  0.000  0.000 (multiplicity 4)
Se  0.000  0.000  0.500 (multiplicity 4)